A plane-wave DFT calculation with PBE was carried out for a relaxed Tb6In3Hg crystal.

For the formation energy, the calculation gives -0.37 eV/atom. The total magnetization is 0.00 Bohr magnetons per cell. Its final energy is -0.294 Ry per atom.

It has space group P2_1/m (No. 11), with a = 9.3661 Å, b = 5.3354 Å, c = 11.6740 Å, α = 90.00°, β = 107.86° and γ = 90.00°. The distinct sites, in fractional coordinates, are Tb at (0.0391, 0.2500, 0.4127), Tb at (0.1615, 0.7500, 0.1753), Tb at (0.2572, 0.2500, 0.0005), Tb at (0.3432, 0.7500, 0.8073), Tb at (0.3676, 0.2500, 0.3380), Tb at (0.4041, 0.2500, 0.6214), In at (0.0296, 0.7500, 0.8817), In at (0.1221, 0.2500, 0.7144), In at (0.2746, 0.7500, 0.4724) and Hg at (0.4539, 0.7500, 0.1045).

***

A plane-wave DFT calculation with PBE was carried out for a relaxed KAl2Cl crystal.

The calculation puts the excess energy over the best structure of this formula in the dataset at 316 meV/atom. The uncorrected formation energy is -0.13 eV/atom. The total magnetization is 0.00 Bohr magnetons per cell. Its final energy is -0.201 Ry per atom.

It has space group Imm2 (No. 44), with a = 3.1960 Å, b = 7.2633 Å, c = 10.0679 Å, α = 90.00°, β = 90.00° and γ = 90.00°. The distinct sites, in fractional coordinates, are K at (0.0000, 0.0000, 0.0000), Al at (0.0000, 0.0000, 0.5407), Al at (0.0000, 0.5000, 0.8273) and Cl at (0.0000, 0.5000, 0.2318).

***

A plane-wave DFT calculation with PBE was carried out for a relaxed YNi2HgTe crystal.

The uncorrected formation energy is 0.96 eV/atom. The total magnetization is 0.00 Bohr magnetons per cell. Its final energy is -0.245 Ry per atom.

It has space group P4/mmm (No. 123), with a = 4.8673 Å, b = 4.8673 Å, c = 5.6344 Å, α = 90.00°, β = 90.00° and γ = 90.00°. The distinct sites, in fractional coordinates, are Y at (0.0000, 0.0000, 0.0000), Ni at (0.0000, 0.5000, 0.0000), Hg at (0.0000, 0.0000, 0.5000) and Te at (0.5000, 0.5000, 0.5000).

***

A plane-wave DFT calculation with PBE was carried out for a relaxed NdErAlNi crystal.

For the formation energy, the calculation gives -0.26 eV/atom. The total magnetization is 0.00 Bohr magnetons per cell. Its final energy is -0.365 Ry per atom.

It has space group F-43m (No. 216), with a = 7.1252 Å, b = 7.1252 Å, c = 7.1252 Å, α = 90.00°, β = 90.00° and γ = 90.00°. The distinct sites, in fractional coordinates, are Nd at (0.0000, 0.0000, 0.0000), Er at (0.0000, 0.0000, 0.5000), Al at (0.2500, 0.2500, 0.7500) and Ni at (0.2500, 0.2500, 0.2500).

***

Repeat the third record exactly.
A plane-wave DFT calculation with PBE was carried out for a relaxed YNi2HgTe crystal.

The uncorrected formation energy is 0.96 eV/atom. The total magnetization is 0.00 Bohr magnetons per cell. Its final energy is -0.245 Ry per atom.

It has space group P4/mmm (No. 123), with a = 4.8673 Å, b = 4.8673 Å, c = 5.6344 Å, α = 90.00°, β = 90.00° and γ = 90.00°. The distinct sites, in fractional coordinates, are Y at (0.0000, 0.0000, 0.0000), Ni at (0.0000, 0.5000, 0.0000), Hg at (0.0000, 0.0000, 0.5000) and Te at (0.5000, 0.5000, 0.5000).

***

> Among the records above, which one has the lowest final energy?

NdErAlNi